Record 1
VASP calculation (PBE) on a relaxed structure of Ac4OsI2O.

a = 4.267 Å, b = 7.145 Å, c = 8.947 Å
α = 106.62°, β = 90.00°, γ = 90.00°
Positions (direct):
Ac1 0.500 0.220 0.181
Ac2 0.500 0.780 0.819
Ac3 0.000 0.253 0.820
Ac4 0.000 0.747 0.180
Os1 0.500 0.500 0.000
I1 0.500 0.000 0.500
I2 0.000 0.500 0.500
O1 0.000 0.000 0.000

The value obtained for the uncorrected formation energy is -1.143 eV/atom. As for the size of the total moment: 0.00 μB per atom.

Record 2
VASP calculation (PBE) on a relaxed structure of Ac8Os3I3O.

a = 8.576 Å, b = 8.612 Å, c = 10.047 Å
α = 115.31°, β = 89.97°, γ = 120.19°
Positions (direct):
Ac1 0.270 0.541 0.312
Ac2 0.730 0.459 0.688
Ac3 0.777 0.555 0.324
Ac4 0.223 0.445 0.676
Ac5 0.776 0.047 0.323
Ac6 0.224 0.953 0.677
Ac7 0.262 0.044 0.327
Ac8 0.738 0.956 0.673
Os1 0.500 0.000 0.500
Os2 0.500 0.500 0.500
Os3 0.000 0.500 0.500
I1 0.000 0.000 0.000
I2 0.000 0.500 0.000
I3 0.500 0.500 0.000
O1 0.000 0.000 0.500

The value obtained for the uncorrected formation energy is -0.738 eV/atom. As for the size of the total moment: 0.06 μB per atom.

The calculation returns the following calculated volume values, one per record and in order: 32.7; 37.2 A^3/atom.